DFT (PBE) results for a geometry-optimized SbAs2Br structure.

Computed properties:
energy above the lowest structure with this stoichiometry	497	meV per atom
formation energy (no corrections)	0.46	eV/atom

Lattice parameters (Å, degrees): 3.5841 4.8438 5.2570 90.00 90.00 90.00
Space group Pmmm (No. 47)
Unique sites:
Sb1 0.0000 0.0000 0.0000 x1
As1 0.0000 0.5000 0.5000 x1
As2 0.5000 0.0000 0.5000 x1
Br1 0.5000 0.5000 0.0000 x1

DFT (PBE) results for a geometry-optimized Np4TaNb3C8 structure.

Computed properties:
ΔE_f	-309	meV per atom

Lattice parameters (Å, degrees): 6.5288 6.5288 16.8234 90.00 90.00 120.00
Space group R-3m (No. 166, hexagonal axes)
Unique sites:
Np1 0.0000 0.0000 0.0000 x3
Np2 0.0000 0.5000 0.0000 x9
Ta1 0.0000 0.0000 0.5000 x3
Nb1 0.0000 0.5000 0.5000 x9
C1 0.0000 0.0000 0.2434 x6
C2 0.0027 0.5013 0.2428 x18

DFT (PBE) results for a geometry-optimized Y3Ho3Er8 structure.

Computed properties:
ΔE_f	110	meV per atom

Lattice parameters (Å, degrees): 5.5624 10.7056 14.8081 90.00 90.00 90.00
Space group Immm (No. 71)
Unique sites:
Y1 0.0000 0.0000 0.0000 x2
Y2 0.0000 0.5000 0.3190 x4
Ho1 0.0000 0.0000 0.5000 x2
Ho2 0.0000 0.2946 0.5000 x4
Er1 0.0000 0.1589 0.2785 x8
Er2 0.0000 0.3418 0.1038 x8

DFT (PBE) results for a geometry-optimized TbGd2Se structure.

Computed properties:
formation energy (no corrections)	-0.80	eV/atom

Lattice parameters (Å, degrees): 3.8023 3.8023 28.8771 90.00 90.00 120.00
Space group R-3m (No. 166, hexagonal axes)
Unique sites:
Tb1 0.0000 0.0000 0.0000 x3
Gd1 0.0000 0.0000 0.2327 x6
Se1 0.0000 0.0000 0.5000 x3

DFT (PBE) results for a geometry-optimized La2Ga5Au3 structure.

Computed properties:
energy above the lowest structure with this stoichiometry	112	meV per atom
ΔE_f	-575	meV per atom

Lattice parameters (Å, degrees): 4.3607 4.3607 11.3231 90.00 90.00 90.00
Space group P-4m2 (No. 115)
Unique sites:
La1 0.0000 0.5000 0.2476 x2
Ga1 0.0000 0.0000 0.0000 x1
Ga2 0.0000 0.5000 0.8717 x2
Ga3 0.5000 0.5000 0.0000 x1
Ga4 0.5000 0.5000 0.5000 x1
Au1 0.0000 0.0000 0.5000 x1
Au2 0.0000 0.5000 0.6507 x2

DFT (PBE) results for a geometry-optimized Y4ZrAg5 structure.

Computed properties:
ΔE_f	-247	meV per atom

Lattice parameters (Å, degrees): 3.5913 3.5913 18.1603 90.00 90.00 90.00
Space group P4/mmm (No. 123)
Unique sites:
Y1 0.0000 0.0000 0.1028 x2
Y2 0.0000 0.0000 0.3076 x2
Zr1 0.0000 0.0000 0.5000 x1
Ag1 0.5000 0.5000 0.0000 x1
Ag2 0.5000 0.5000 0.2049 x2
Ag3 0.5000 0.5000 0.4106 x2

DFT (PBE) results for a geometry-optimized TbLuMnTc structure.

Computed properties:
ΔE_f	94	meV per atom

Lattice parameters (Å, degrees): 6.8979 6.8979 6.8979 90.00 90.00 90.00
Space group F-43m (No. 216)
Unique sites:
Tb1 0.0000 0.0000 0.0000 x4
Lu1 0.0000 0.0000 0.5000 x4
Mn1 0.2500 0.2500 0.2500 x4
Tc1 0.2500 0.2500 0.7500 x4

DFT (PBE) results for a geometry-optimized FeSnBRu2 structure.

Computed properties:
ΔE_f	-60	meV per atom

Lattice parameters (Å, degrees): 4.1584 4.1584 3.9097 90.00 90.00 90.00
Space group P4/mmm (No. 123)
Unique sites:
Fe1 0.0000 0.0000 0.0000 x1
Sn1 0.5000 0.5000 0.0000 x1
B1 0.0000 0.0000 0.5000 x1
Ru1 0.0000 0.5000 0.5000 x2